[1]
Compound: CaZrBi2F
Source: the Alexandria database
Functional: PBE
Structure: optimized geometry

Its space group is P4/mmm, No. 123. The raw formation energy is -0.82 eV per atom.

Cell lengths 5.432, 4.240, 5.432 Å; angles 90.00, 90.00, 90.00 degrees
Last column: magnetic moment on the atom in μB.
Positions (direct):
Ca (0.000, 0.500, 0.000)  0.03
Bi (0.000, 0.000, 0.500)  -0.05
Bi (0.500, 0.000, 0.000)  -0.03
Zr (0.500, 0.500, 0.500)  0.49
F (0.000, 0.000, 0.000)  -0.01

=====

[2]
Compound: CaFeHg2Bi
Source: the Alexandria database
Functional: PBE
Structure: optimized geometry

The formation energy from the elements is 793 meV per atom. Its space group is P4/mmm, No. 123.

Cell lengths 5.823, 6.113, 5.823 Å; angles 90.00, 90.00, 90.00 degrees
Last column: magnetic moment on the atom in μB.
Positions (direct):
Fe (0.500, 0.500, 0.500)  3.23
Ca (0.000, 0.500, 0.000)  -0.04
Bi (0.000, 0.000, 0.000)  0.01
Hg (0.000, 0.000, 0.500)  0.01
Hg (0.500, 0.000, 0.000)  -0.01

=====

[3]
Compound: CaFe2HgBi
Source: the Alexandria database
Functional: PBE
Structure: optimized geometry

The formation energy from the elements is 1736 meV per atom. Its space group is P4/mmm, No. 123.

Cell lengths 4.664, 5.454, 4.664 Å; angles 90.00, 90.00, 90.00 degrees
Last column: magnetic moment on the atom in μB.
Positions (direct):
Fe (0.000, 0.000, 0.500)  -0.09
Fe (0.500, 0.000, 0.000)  0.03
Ca (0.000, 0.000, 0.000)  0.01
Bi (0.500, 0.500, 0.500)  -0.05
Hg (0.000, 0.500, 0.000)  0.01

=====

[4]
Compound: KCa2FeBi
Source: the Alexandria database
Functional: PBE
Structure: optimized geometry

The formation energy from the elements is 365 meV per atom. Its space group is P4/mmm, No. 123.

Cell lengths 5.492, 5.575, 5.492 Å; angles 90.00, 90.00, 90.00 degrees
Last column: magnetic moment on the atom in μB.
Positions (direct):
K (0.000, 0.500, 0.000)  0.01
Ca (0.000, 0.000, 0.500)  -0.09
Ca (0.500, 0.000, 0.000)  -0.06
Bi (0.500, 0.500, 0.500)  0.14
Fe (0.000, 0.000, 0.000)  2.30